1.
Er2ScPb | PBE | optimized geometry

Summary:
E_tot: -5.045 eV/atom
magnetization: 0.00 μB per cell

The structure in POSCAR format:
```
Er2ScPb
1.0
5.210 0.000 0.000
0.000 6.374 -1.542
0.000 0.447 6.539
Er Sc Pb
4 2 2
Direct
0.250 0.933 0.651
0.750 0.067 0.349
0.250 0.724 0.143
0.750 0.276 0.857
0.250 0.419 0.586
0.750 0.581 0.414
0.250 0.240 0.126
0.750 0.760 0.874
```

2.
Er3Sc4Pb4 | PBE | optimized geometry

Summary:
E_tot: -5.232 eV/atom
magnetization: 2.03 μB per cell

The structure in POSCAR format:
```
Er3Sc4Pb4
1.0
-1.329 1.761 3.574
-8.468 -0.148 -3.075
3.873 -8.013 2.920
Er Sc Pb
3 4 4
Direct
0.115 0.115 0.229
0.885 0.885 0.771
0.000 0.500 0.000
0.325 0.125 0.650
0.675 0.475 0.350
0.675 0.875 0.350
0.325 0.525 0.650
0.235 0.735 0.470
0.765 0.265 0.530
0.500 0.790 0.000
0.500 0.210 0.000
```

3.
Er2ScPb3 | PBE | optimized geometry

Summary:
E_tot: -4.812 eV/atom
magnetization: 0.00 μB per cell

The structure in POSCAR format:
```
Er2ScPb3
1.0
-3.799 2.314 -3.562
-2.576 -4.991 -5.052
-8.730 -0.489 2.726
Er Sc Pb
4 2 6
Direct
0.000 0.000 0.000
0.500 0.000 0.500
0.163 0.674 0.500
0.837 0.326 0.500
0.670 0.660 0.000
0.330 0.340 0.000
0.427 0.661 0.754
0.267 0.000 0.238
0.573 0.339 0.246
0.912 0.661 0.246
0.088 0.339 0.754
0.733 0.000 0.762
```

4.
ErSc2Pb | PBE | optimized geometry

Summary:
E_tot: -5.489 eV/atom
magnetization: 1.83 μB per cell

The structure in POSCAR format:
```
ErSc2Pb
1.0
-0.292 -2.944 -3.596
1.541 -3.460 2.708
-4.384 -1.020 1.191
Pb Sc Er
1 2 1
Direct
0.500 0.000 0.000
0.000 0.000 0.500
0.000 0.500 0.000
0.500 0.500 0.500
```

5.
Er4ScPb2 | PBE | optimized geometry

Summary:
E_tot: -4.806 eV/atom
magnetization: 0.23 μB per cell

The structure in POSCAR format:
```
Er4ScPb2
1.0
4.649 0.000 0.000
0.000 6.546 -1.214
0.000 0.216 6.654
Er Sc Pb
4 1 2
Direct
0.000 0.790 0.790
0.000 0.210 0.210
0.500 0.000 0.500
0.500 0.500 0.000
0.500 0.500 0.500
0.000 0.718 0.282
0.000 0.282 0.718
```

6.
Er2ScPb | PBE | optimized geometry

Summary:
E_tot: -4.732 eV/atom
magnetization: 0.00 μB per cell

The structure in POSCAR format:
```
Er2ScPb
1.0
-1.787 -2.954 -0.093
-0.208 -1.982 2.821
-10.252 4.049 4.203
Pb Sc Er
1 1 2
Direct
0.000 0.000 0.000
0.500 0.500 0.500
0.091 0.091 0.727
0.909 0.909 0.273
```

7.
Er3ScPb | PBE | optimized geometry

Summary:
E_tot: -4.919 eV/atom
magnetization: 0.00 μB per cell

The structure in POSCAR format:
```
Er3ScPb
1.0
-3.380 1.746 -3.715
-2.718 -4.713 -3.525
-6.334 1.744 6.549
Er Sc Pb
6 2 2
Direct
0.323 0.922 0.364
0.493 0.582 0.986
0.195 0.179 0.073
0.698 0.173 0.586
0.365 0.839 0.695
0.990 0.587 0.473
0.864 0.841 0.183
0.824 0.920 0.876
0.087 0.395 0.777
0.601 0.366 0.283
```

8.
Er2Sc3Pb4 | PBE | optimized geometry

Summary:
E_tot: -5.269 eV/atom
magnetization: 0.00 μB per cell

The structure in POSCAR format:
```
Er2Sc3Pb4
1.0
-1.259 5.034 5.877
4.168 -6.487 2.447
6.873 3.758 -1.746
Er Sc Pb
4 6 8
Direct
0.551 0.192 0.320
0.949 0.808 0.820
0.449 0.808 0.680
0.051 0.192 0.180
0.000 0.500 0.500
0.500 0.500 0.000
0.737 0.246 0.845
0.763 0.754 0.345
0.263 0.754 0.155
0.237 0.246 0.655
0.830 0.088 0.543
0.670 0.912 0.043
0.170 0.912 0.457
0.330 0.088 0.957
0.857 0.495 0.144
0.643 0.505 0.644
0.143 0.505 0.856
0.357 0.495 0.356
```

9.
Er2ScPb | PBE | optimized geometry

Summary:
E_tot: -5.062 eV/atom
magnetization: 0.00 μB per cell

The structure in POSCAR format:
```
Er2ScPb
1.0
6.601 0.000 0.000
3.301 5.720 -0.377
3.301 0.755 5.682
Er Sc Pb
4 2 2
Direct
0.201 0.299 0.799
0.299 0.701 0.201
0.799 0.701 0.201
0.701 0.299 0.799
0.750 0.192 0.308
0.250 0.808 0.692
0.250 0.196 0.304
0.750 0.804 0.696
```

10.
Er2ScPb3 | PBE | optimized geometry

Summary:
E_tot: -4.871 eV/atom
magnetization: 0.01 μB per cell

The structure in POSCAR format:
```
Er2ScPb3
1.0
6.147 0.077 -1.245
-0.515 5.880 -2.163
0.207 -0.088 8.859
Er Sc Pb
4 2 6
Direct
0.591 0.539 0.334
0.091 0.794 0.334
0.909 0.206 0.666
0.409 0.461 0.666
0.750 0.120 0.000
0.250 0.880 0.000
0.250 0.378 0.000
0.750 0.622 0.000
0.080 0.288 0.325
0.420 0.963 0.675
0.580 0.037 0.325
0.920 0.712 0.675
```

11.
ErSc5Pb3 | PBE | optimized geometry

Summary:
E_tot: -5.618 eV/atom
magnetization: 7.21 μB per cell

The structure in POSCAR format:
```
ErSc5Pb3
1.0
6.326 0.000 0.000
0.000 7.737 -4.467
0.000 0.000 8.933
Er Sc Pb
2 10 6
Direct
0.000 0.000 0.000
0.500 0.000 0.000
0.000 0.667 0.333
0.500 0.333 0.667
0.000 0.333 0.667
0.500 0.667 0.333
0.750 0.663 0.663
0.750 0.000 0.337
0.750 0.337 0.000
0.250 0.337 0.337
0.250 0.000 0.663
0.250 0.663 0.000
0.750 0.334 0.334
0.750 0.000 0.666
0.750 0.666 0.000
0.250 0.666 0.666
0.250 0.000 0.334
0.250 0.334 0.000
```

12.
ErSc2Pb | PBE | optimized geometry

Summary:
E_tot: -5.322 eV/atom
magnetization: 1.47 μB per cell

The structure in POSCAR format:
```
ErSc2Pb
1.0
-2.420 0.343 -4.627
-3.079 -3.901 -1.638
-5.183 0.665 -0.200
Er Sc Pb
1 2 1
Direct
0.500 0.500 0.500
0.000 0.000 0.000
0.250 0.250 0.250
0.750 0.750 0.750
```

E_tot of number 1 (Er2ScPb)? -5.045 eV/atom

Look up the E_tot of the second one. -5.232 eV/atom

Copy entry 6 word for word.
Er2ScPb | PBE | optimized geometry

Summary:
E_tot: -4.732 eV/atom
magnetization: 0.00 μB per cell

The structure in POSCAR format:
```
Er2ScPb
1.0
-1.787 -2.954 -0.093
-0.208 -1.982 2.821
-10.252 4.049 4.203
Pb Sc Er
1 1 2
Direct
0.000 0.000 0.000
0.500 0.500 0.500
0.091 0.091 0.727
0.909 0.909 0.273
```